[1]
PBE-GGA PmNpAs2Pd2, relaxed; SG = P-3m1; size of the total moment = 0.68 μB per atom; uncorrected energy = -7.1029 eV per atom; calculated density = 9.82 g/cm³; formation energy from the elements = -0.87 eV/atom
1.0
-0.463 -1.754 3.969
3.969 0.359 -1.777
0.784 6.917 3.148
Np As Pd Pm
1 2 2 1
direct
0.000 0.000 0.000
0.667 0.333 0.762
0.333 0.667 0.238
0.667 0.333 0.252
0.333 0.667 0.748
0.000 0.000 0.500

[2]
PBE-GGA PuAl4CuPd2, relaxed; SG = R-3m; size of the total moment = 0.71 μB per atom; uncorrected energy = -5.9603 eV per atom; calculated density = 7.54 g/cm³; formation energy from the elements = -0.49 eV/atom
1.0
-0.579 -0.970 4.100
0.040 -4.065 1.249
8.538 -1.177 3.132
Al Pu Pd Cu
4 1 2 1
direct
0.133 0.133 0.602
0.596 0.596 0.211
0.867 0.867 0.398
0.404 0.404 0.789
0.000 0.000 0.000
0.765 0.765 0.705
0.235 0.235 0.295
0.500 0.500 0.500

[3]
PBE-GGA Hf6Fe2Tc, relaxed; SG = C2/m; size of the total moment = 0.07 μB per atom; uncorrected energy = -9.8546 eV per atom; calculated density = 13.04 g/cm³; formation energy from the elements = -0.19 eV/atom
1.0
4.446 0.000 -1.019
-0.454 5.326 -1.983
-0.677 -0.546 7.255
Hf Tc Fe
6 1 2
direct
0.718 0.139 0.436
0.619 0.537 0.238
0.381 0.463 0.762
0.051 0.802 0.101
0.949 0.198 0.899
0.282 0.861 0.564
0.500 0.000 0.000
0.832 0.662 0.664
0.168 0.338 0.336